In2Cu2Se3S (PBE, relaxed); SG = C2; E = -3.890 eV per atom
1.0
6.500 -2.890 0.000
6.500 2.890 0.000
-2.572 0.000 5.186
In Cu Se S
2 2 3 1
direct
0.123 0.123 0.379 In
0.877 0.877 0.621 In
0.362 0.401 0.145 Cu
0.599 0.638 0.855 Cu
0.493 0.007 0.216 Se
0.712 0.288 0.000 Se
0.993 0.507 0.784 Se
0.269 0.731 0.500 S